The following is a DFT calculation (PBE) of a relaxed structure of Dy8Tm2Th3.

Results
**DFT formation energy**: 271 meV per atom
**Magnetization**: 0.00 μB per cell

The structure in POSCAR format:
```
Dy8Tm2Th3
1.0
9.882 -3.925 0.000
9.882 3.925 0.000
-0.005 0.000 5.568
Dy Tm Th
8 2 3
Cartesian
7.740 2.318 5.566
3.383 0.000 2.790
12.019 2.318 0.002
7.316 0.000 2.787
12.443 0.000 2.781
7.740 -2.318 5.566
16.376 0.000 2.778
12.019 -2.318 0.002
5.160 0.000 0.007
14.600 0.000 5.561
9.880 2.320 2.784
9.882 0.000 0.000
9.880 -2.320 2.784
```